Here is a relaxed structure of Ho2MnCo5B2 from Alexandria via LeMat-Bulk. Energies are from PBE.

Cell lengths 9.020, 9.020, 3.022 Å; angles 90.00, 90.00, 90.00 degrees
Element x y z (fractional)
1 Ho 0.178 0.322 0.000
2 Ho 0.322 0.822 0.000
3 Ho 0.678 0.178 0.000
4 Ho 0.822 0.678 0.000
5 Mn 0.000 0.000 0.000
6 Mn 0.500 0.500 0.000
7 Co 0.000 0.500 0.500
8 Co 0.067 0.773 0.500
9 Co 0.227 0.067 0.500
10 Co 0.273 0.567 0.500
11 Co 0.433 0.273 0.500
12 Co 0.500 0.000 0.500
13 Co 0.567 0.727 0.500
14 Co 0.727 0.433 0.500
15 Co 0.773 0.933 0.500
16 Co 0.933 0.227 0.500
17 B 0.118 0.618 0.000
18 B 0.382 0.118 0.000
19 B 0.618 0.882 0.000
20 B 0.882 0.382 0.000

Summary:
Fermi-level density of states: 0.64 states/eV per atom
E_form: -0.30 eV per atom
Symmetry: No. 127
Density: 9.5 Mg/m³

***

Here is a relaxed structure of TlCdPb from Alexandria via LeMat-Bulk. Energies are from PBE.

Cell lengths 15.181, 15.181, 15.181 Å; angles 167.02, 167.02, 18.39 degrees
Element x y z (fractional)
1 Tl 0.054 0.054 0.000
2 Tl 0.946 0.946 0.000
3 Cd 0.218 0.218 0.000
4 Cd 0.782 0.782 0.000
5 Pb 0.361 0.361 0.000
6 Pb 0.639 0.639 0.000

Summary:
Fermi-level density of states: 0.47 states/eV per atom
E_form: 0.05 eV per atom
Symmetry: No. 139
Energy above the lowest structure with this stoichiometry: 2.2 kJ per mole of atoms
Density: 9.9 Mg/m³

***

Here is a relaxed structure of CaLa3Tc from Alexandria via LeMat-Bulk. Energies are from PBE.

Cell lengths 5.611, 10.471, 5.961 Å; angles 90.00, 90.02, 90.00 degrees
Element x y z (fractional)
1 Ca 0.247 0.250 0.251
2 Ca 0.753 0.750 0.749
3 La 0.226 0.750 0.250
4 La 0.271 0.503 0.751
5 La 0.271 0.997 0.751
6 La 0.729 0.003 0.249
7 La 0.729 0.497 0.249
8 La 0.774 0.250 0.750
9 Tc 0.333 0.250 0.752
10 Tc 0.667 0.750 0.248

Summary:
Fermi-level density of states: 0.99 states/eV per atom
E_form: 0.06 eV per atom
Symmetry: No. 11
Energy above the lowest structure with this stoichiometry: 7.7 kJ per mole of atoms
Density: 5.3 Mg/m³

***

Here is a relaxed structure of DyIn3 from Alexandria via LeMat-Bulk. Energies are from PBE.

Cell lengths 5.937, 5.937, 5.937 Å; angles 135.39, 135.39, 64.93 degrees
Element x y z (fractional)
1 Dy 0.000 0.000 0.000
2 In 0.250 0.750 0.500
3 In 0.500 0.500 0.000
4 In 0.750 0.250 0.500

Summary:
Fermi-level density of states: 0.73 states/eV per atom
E_form: -0.34 eV per atom
Symmetry: No. 139
Density: 8.3 Mg/m³

***

Here is a relaxed structure of MnFe4Tc from Alexandria via LeMat-Bulk. Energies are from PBE.

Cell lengths 4.663, 4.663, 4.663 Å; angles 60.00, 60.00, 60.00 degrees
Element x y z (fractional)
1 Mn 0.000 0.000 0.000
2 Fe 0.375 0.375 0.375
3 Fe 0.375 0.375 0.875
4 Fe 0.375 0.875 0.375
5 Fe 0.875 0.375 0.375
6 Tc 0.750 0.750 0.750

Summary:
Fermi-level density of states: 1.20 states/eV per atom
E_form: 0.09 eV per atom
Symmetry: No. 216
Density: 8.7 Mg/m³

***

Here is a relaxed structure of CaAs2PbO6 from Alexandria via LeMat-Bulk. Energies are from PBE.

Cell lengths 6.655, 6.655, 6.655 Å; angles 50.95, 50.95, 50.95 degrees
Element x y z (fractional)
1 Ca 0.000 0.000 0.000
2 As 0.286 0.286 0.286
3 As 0.714 0.714 0.714
4 Pb 0.500 0.500 0.500
5 O 0.024 0.770 0.446
6 O 0.230 0.554 0.976
7 O 0.446 0.024 0.770
8 O 0.554 0.976 0.230
9 O 0.770 0.446 0.024
10 O 0.976 0.230 0.554

Summary:
Fermi-level density of states: 0.08 states/eV per atom
Symmetry: No. 148
Density: 5.0 Mg/m³
Uncorrected formation energy: -1.4743 eV/atom

***

Here is a relaxed structure of Ho2In2BIr4 from Alexandria via LeMat-Bulk. Energies are from PBE.

Cell lengths 6.075, 6.075, 6.075 Å; angles 119.43, 119.43, 90.98 degrees
Element x y z (fractional)
1 Ho 0.207 0.207 0.000
2 Ho 0.793 0.793 0.000
3 In 0.250 0.750 0.500
4 In 0.750 0.250 0.500
5 B 0.500 0.500 0.000
6 Ir 0.260 0.260 0.519
7 Ir 0.260 0.740 0.000
8 Ir 0.740 0.260 0.000
9 Ir 0.740 0.740 0.481

Summary:
Fermi-level density of states: 0.25 states/eV per atom
E_form: -0.40 eV per atom
Symmetry: No. 139
Density: 13.9 Mg/m³